Record 1
Compound: Er4Cu3Au
Source: Alexandria
Functional: PBE
Structure: relaxed

Summary:
symmetry: Pmm2 (25)

Cell and atoms, written as POSCAR:
```
Er4Cu3Au
1.0
3.706 0.000 0.000
0.000 4.512 0.000
0.000 0.000 10.377
Er Cu Au
4 3 1
Direct
0.500 0.500 0.367
0.000 0.500 0.854
0.000 0.000 0.143
0.500 0.000 0.638
0.000 0.500 0.573
0.000 0.000 0.428
0.500 0.000 0.918
0.500 0.500 0.079
```

=====

Record 2
Compound: Pa2Hg2C
Source: Alexandria
Functional: PBE
Structure: relaxed

Summary:
symmetry: R-3m (166)

Cell and atoms, written as POSCAR:
```
Pa2Hg2C
1.0
-1.706 1.902 2.239
-3.177 -0.834 0.865
2.181 -5.758 9.132
Pa Hg C
2 2 1
Direct
0.379 0.379 0.864
0.621 0.621 0.136
0.872 0.872 0.384
0.128 0.128 0.616
0.000 0.000 0.000
```

=====

| no. | E_form (eV per atom) | total DFT energy (no corrections) (eV/cell) |
| --- | --- | --- |
| 1 | -0.42 | -37.214 |
| 2 | -0.22 | -29.912 |